Here is crystalline LiTiNi6 at its relaxed geometry from Alexandria. Energies are from PBE.

Computed properties:
Electronic total energy: -0.212 Ha/atom
Total moment: 1.36 μB per formula unit

Cell: 4.0713 5.0930 5.0930 Å, 119.99 90.00 90.00°
Last column: nearest neighbours and their distance in Å.
Element x y z (fractional)
Ni  0.0000  0.5877  0.4123  8 Ni 2.48-2.61, 2 Ti 2.53, 2 Li 2.55
Li  0.0000  0.0834  0.9166  12 Ni 2.51-2.55
Ni  0.0000  0.0746  0.4122  8 Ni 2.48-2.61, 2 Ti 2.53, 2 Li 2.55
Ni  0.5000  0.9164  0.5831  8 Ni 2.50-2.55, 2 Li 2.51, 2 Ti 2.55
Ni  0.5000  0.4169  0.0836  8 Ni 2.50-2.55, 2 Li 2.51, 2 Ti 2.55
Ti  0.5000  0.4166  0.5834  12 Ni 2.53-2.55
Ni  0.0000  0.5878  0.9254  8 Ni 2.48-2.61, 2 Ti 2.53, 2 Li 2.55
Ni  0.5000  0.9164  0.0836  8 Ni 2.50-2.55, 2 Li 2.51, 2 Ti 2.55



Here is crystalline LiTiNi2 at its relaxed geometry from Alexandria. Energies are from PBE.

Computed properties:
Electronic total energy: -0.205 Ha/atom
Total moment: 0.00 μB per formula unit

Cell: 2.9752 2.9752 5.6954 Å, 90.00 90.00 90.00°
Last column: nearest neighbours and their distance in Å.
Element x y z (fractional)
Ni  0.0000  0.0000  0.2495  4 Ti 2.54, 4 Li 2.54, 1 Ni 2.84
Ti  0.5000  0.5000  0.0000  8 Ni 2.54
Ni  0.0000  0.0000  0.7505  4 Ti 2.54, 4 Li 2.54, 1 Ni 2.84
Li  0.5000  0.5000  0.5000  8 Ni 2.54



Here is crystalline LiTiNi3 at its relaxed geometry from Alexandria. Energies are from PBE.

Computed properties:
Electronic total energy: -0.186 Ha/atom
Total moment: 0.99 μB per formula unit

Cell: 3.9284 3.9284 3.9284 Å, 90.00 90.00 90.00°
Last column: nearest neighbours and their distance in Å.
Element x y z (fractional)
Ni  0.5000  0.0000  0.0000  2 Li 1.96
Li  0.0000  0.0000  0.0000  6 Ni 1.96
Ni  0.0000  0.5000  0.0000  2 Li 1.96
Ni  0.0000  0.0000  0.5000  2 Li 1.96
Ti  0.5000  0.5000  0.5000  12 Ni 2.78



Here is crystalline LiTiNi2 at its relaxed geometry from Alexandria. Energies are from PBE.

Computed properties:
Electronic total energy: -0.193 Ha/atom
Total moment: 0.00 μB per formula unit

Cell: 6.4135 6.4135 5.2105 Å, 52.02 52.02 90.00°
Last column: nearest neighbours and their distance in Å.
Element x y z (fractional)
Li  0.5000  0.5000  0.0000  4 Ni 2.36, 2 Ti 2.57
Ti  0.0000  0.0000  0.0000  4 Ni 2.35, 2 Li 2.57
Ni  0.6261  0.1250  0.2500  2 Ti 2.35, 2 Li 2.36, 2 Ni 2.57
Li  0.2500  0.7500  0.5000  4 Ni 2.36, 2 Ti 2.57
Ni  0.3750  0.3739  0.7500  2 Ti 2.35, 2 Li 2.36, 2 Ni 2.57
Ni  0.1239  0.6250  0.2500  2 Ti 2.35, 2 Li 2.36, 2 Ni 2.57
Ti  0.7500  0.2500  0.5000  4 Ni 2.35, 2 Li 2.57
Ni  0.8750  0.8761  0.7500  2 Ti 2.35, 2 Li 2.36, 2 Ni 2.57



Here is crystalline Li2TlNi at its relaxed geometry from Alexandria. Energies are from PBE.

Computed properties:
Electronic total energy: -0.109 Ha/atom
Total moment: 0.00 μB per formula unit

Cell: 3.4101 3.2417 5.9376 Å, 90.00 90.00 90.00°
Last column: nearest neighbours and their distance in Å.
Element x y z (fractional)
Li  0.5000  0.5000  0.2701  4 Ni 2.67, 1 Tl 2.74, 4 Li 2.80
Li  0.0000  0.0000  0.0151  1 Ni 2.78, 4 Li 2.80, 4 Tl 2.89
Tl  0.5000  0.5000  0.7314  5 Li 2.74-2.89, 4 Ni 2.78
Ni  0.0000  0.0000  0.4834  5 Li 2.67-2.78, 4 Tl 2.78



Here is crystalline Li2TlNi at its relaxed geometry from Alexandria. Energies are from PBE.

Computed properties:
Electronic total energy: -0.110 Ha/atom
Total moment: 0.25 μB per formula unit

Cell: 3.3164 3.3164 5.7055 Å, 90.00 90.00 90.00°
Last column: nearest neighbours and their distance in Å.
Element x y z (fractional)
Ni  0.5000  0.5000  0.2500  8 Li 2.64, 2 Tl 2.85
Tl  0.5000  0.5000  0.7500  2 Ni 2.85, 8 Li 2.86
Li  0.0000  0.0000  0.4630  1 Li 2.43, 4 Ni 2.64
Li  0.0000  0.0000  0.0370  1 Li 2.43, 4 Ni 2.64